# 1
A relaxed structure of TmTh2Sc, computed with GGA-PBE.

a = 4.9768 Å, b = 4.9768 Å, c = 4.8248 Å
α = 90.00°, β = 90.00°, γ = 90.00°
Closest atoms and distances in Å follow each position.
Element x y z (fractional)
1 Tm 0.0000 0.0000 0.0000  8 Th 3.47, 4 Sc 3.52
2 Th 0.0000 0.5000 0.5000  4 Tm 3.47, 4 Sc 3.47, 4 Th 3.52
3 Th 0.5000 0.0000 0.5000  4 Tm 3.47, 4 Sc 3.47, 4 Th 3.52
4 Sc 0.5000 0.5000 0.0000  8 Th 3.47, 4 Tm 3.52

=====

# 2
A relaxed structure of LiLa2Cl, computed with GGA-PBE.

Calculated values
For the uncorrected formation energy, the calculation gives -571 meV/atom.

a = 3.7245 Å, b = 3.7738 Å, c = 8.7141 Å
α = 90.00°, β = 90.00°, γ = 90.00°
Closest atoms and distances in Å follow each position.
Element x y z (fractional)
1 Li 0.0000 0.0000 0.0000  8 La 3.37, 2 Li 3.72
2 La 0.5000 0.5000 0.2381  2 Cl 2.96
3 La 0.5000 0.5000 0.7619  2 Cl 2.96
4 Cl 0.5000 0.0000 0.5000  4 La 2.96

=====

Calculated energy above the lowest structure with this stoichiometry, 0.0026, 0.1094 eV/atom (same order as the records).